Model P:
Material: Ho4CBr2Cl3
Method: DFT, GGA-PBE
State: relaxed

CIF file:
```
data_Ho4CBr2Cl3
_cell_length_a 17.0986
_cell_length_b 3.7303
_cell_length_c 7.8059
_cell_angle_alpha 90.00
_cell_angle_beta 102.50
_cell_angle_gamma 90.00
_symmetry_space_group_name_H-M 'C 1 2/m 1'
_symmetry_Int_Tables_number 12
_symmetry_space_group_name_Hall '-C 2y'
loop_
_atom_site_label
_atom_site_type_symbol
_atom_site_fract_x
_atom_site_fract_y
_atom_site_fract_z
_atom_site_occupancy
Ho1 Ho 0.0025 0.0000 0.2924 1
Ho2 Ho 0.1422 0.5000 0.5729 1
C1 C 0.0000 0.5000 0.5000 1
Br1 Br 0.1668 0.0000 0.8504 1
Cl1 Cl 0.0000 0.5000 0.0000 1
Cl2 Cl 0.1706 0.0000 0.3371 1
```

Summary:
* total magnetic moment: 0.05 Bohr magnetons per cell
* crystal system: monoclinic

=====

Model Q:
Material: Ho4CBr2Cl3
Method: DFT, GGA-PBE
State: relaxed

CIF file:
```
data_Ho4CBr2Cl3
_cell_length_a 17.4941
_cell_length_b 3.7271
_cell_length_c 7.7815
_cell_angle_alpha 90.00
_cell_angle_beta 103.27
_cell_angle_gamma 90.00
_symmetry_space_group_name_H-M 'C 1 2/m 1'
_symmetry_Int_Tables_number 12
_symmetry_space_group_name_Hall '-C 2y'
loop_
_atom_site_label
_atom_site_type_symbol
_atom_site_fract_x
_atom_site_fract_y
_atom_site_fract_z
_atom_site_occupancy
Ho1 Ho 0.0002 0.0000 0.2098 1
Ho2 Ho 0.1397 0.5000 0.0772 1
C1 C 0.0000 0.5000 0.0000 1
Br1 Br 0.1706 0.0000 0.8200 1
Cl1 Cl 0.0000 0.5000 0.5000 1
Cl2 Cl 0.1600 0.0000 0.3351 1
```

Summary:
* total magnetic moment: 0.12 Bohr magnetons per cell
* crystal system: monoclinic

=====

Ranking the structures above by stability puts model Q first and model P last.